1.
First-principles (PBE) data for an optimized crystal structure of AlZnCrIr, as listed in Alexandria via LeMat-Bulk.

Calculated values
- space-group type = F-43m
- calculated volume (Å³/cell) = 56
- energy relative to the elements (meV per atom) = -340

Unit cell a=4.287 b=4.287 c=4.287 alpha=60.00 beta=60.00 gamma=60.00
Each line ends with the local moment (μB).
Sites, in units of the cell vectors:
1 Ir 0.250 0.250 0.250  -0.01
2 Al 0.000 0.000 0.000  -0.02
3 Cr 0.750 0.750 0.750  2.94
4 Zn 0.500 0.500 0.500  -0.01

2.
First-principles (PBE) data for an optimized crystal structure of LiRu2Cl, as listed in Alexandria via LeMat-Bulk.

Calculated values
- space-group type = Immm
- calculated volume (Å³/cell) = 72
- relative energy among the computed polymorphs (meV per atom) = 120.6
- ΔE_f (raw) (eV per atom) = 0.06

Unit cell a=7.634 b=7.634 c=3.327 alpha=77.45 beta=77.45 gamma=22.35
Sites, in units of the cell vectors:
1 Ru 0.039 0.039 0.961
2 Ru 0.461 0.461 0.539
3 Li 0.250 0.250 0.250
4 Cl 0.750 0.750 0.750

3.
First-principles (PBE) data for an optimized crystal structure of K4CrCo, as listed in Alexandria via LeMat-Bulk.

Calculated values
- space-group type = F-43m
- calculated volume (Å³/cell) = 270
- energy relative to the elements (meV per atom) = 1187

Unit cell a=7.253 b=7.253 c=7.253 alpha=60.00 beta=60.00 gamma=60.00
Each line ends with the local moment (μB).
Sites, in units of the cell vectors:
1 Cr 0.000 0.000 0.000  -4.25
2 Co 0.750 0.750 0.750  2.08
3 K 0.375 0.375 0.375  0.00
4 K 0.375 0.375 0.874  0.00
5 K 0.375 0.874 0.375  0.00
6 K 0.874 0.375 0.375  0.00

- Which formula does entry 1 have?
  AlZnCrIr